Computed, not measured: a geometry-optimized Ti2MnCuP structure at the PBE-GGA level of DFT.

Output
Its total energy is -31.21 eV per formula unit. The formation energy is 315 kJ/mol of formula units. As for the density: 4.47 g/cm3.

Cell: 4.541 4.541 4.421 Å, 90.00 90.00 90.00°
Each line ends with the local moment (μB).
Atoms (fractional coordinates):
Mn1 0.000 0.000 0.500  3.67
Cu1 0.000 0.000 0.000  0.08
Ti1 0.500 0.000 0.000  -0.12
Ti2 0.000 0.500 0.000  -0.12
P1 0.500 0.500 0.500  0.02